Entry 1:
This record from OQMD describes a relaxed structure of Lu3AsC2. The functional is PBE.

As for the total magnetization: 0.000 μB/atom. Its crystal system is hexagonal. The value obtained for the final energy is -0.4894 Ry per atom.

The structure in CIF format:
```
data_Lu3AsC2
_chemical_formula_sum 'Lu6 As2 C4'
_cell_length_a 3.4961
_cell_length_b 3.4961
_cell_length_c 19.8424
_cell_angle_alpha 90.00
_cell_angle_beta 90.00
_cell_angle_gamma 120.00
_space_group_name_H-M_alt 'P 63/m m c'
_space_group_IT_number 194
_space_group_name_Hall '-P 6c 2c'
loop_
_atom_site_label
_atom_site_type_symbol
_atom_site_fract_x
_atom_site_fract_y
_atom_site_fract_z
Lu1 Lu 0.0000 0.0000 0.0000
Lu2 Lu 0.3333 0.6667 0.1385
As1 As 0.0000 0.0000 0.2500
C1 C 0.3333 0.6667 0.5756
```

***

Entry 2:
This record from OQMD describes a relaxed structure of CsTmC3N3. The functional is PBE.

As for the total magnetization: 0.000 μB/atom. Its crystal system is cubic. The value obtained for the final energy is -0.5558 Ry per atom.

The structure in CIF format:
```
data_CsTmC3N3
_chemical_formula_sum 'Cs8 Tm8 C24 N24'
_cell_length_a 11.676
_cell_length_b 11.676
_cell_length_c 11.676
_cell_angle_alpha 90.00
_cell_angle_beta 90.00
_cell_angle_gamma 90.00
_space_group_name_H-M_alt 'F m -3 m'
_space_group_IT_number 225
_space_group_name_Hall '-F 4 2 3'
loop_
_atom_site_label
_atom_site_type_symbol
_atom_site_fract_x
_atom_site_fract_y
_atom_site_fract_z
Cs1 Cs 0.250 0.250 0.250
Tm1 Tm 0.000 0.000 0.000
Tm2 Tm 0.000 0.000 0.500
C1 C 0.000 0.000 0.204
N1 N 0.000 0.000 0.305
```